Record 1
# Br3Cl2 | the Alexandria database | GGA-PBE | relaxed
data_Br3Cl2
_symmetry_space_group_name_H-M 'P 1'
_symmetry_Int_Tables_number 1
_cell_length_a 5.192
_cell_length_b 8.315
_cell_length_c 11.402
_cell_angle_alpha 82.33
_cell_angle_beta 81.29
_cell_angle_gamma 81.89
loop_
_symmetry_equiv_pos_as_xyz
'x,y,z'
loop_
_atom_site_label
_atom_site_fract_x
_atom_site_fract_y
_atom_site_fract_z
_atom_site_occupancy
Br1 0.000 0.000 0.000 1
Br2 0.065 0.152 0.656 1
Br3 0.326 0.297 0.159 1
Br4 0.417 0.893 0.581 1
Br5 0.613 0.612 0.315 1
Br6 0.738 0.668 0.516 1
Cl1 0.153 0.046 0.188 1
Cl2 0.230 0.340 0.514 1
Cl3 0.511 0.560 0.128 1
Cl4 0.847 0.948 0.828 1
# Formation energy from raw total energies   -0.070 eV per formula unit
# Magnetization   0.0 μB per cell
# Energy   -0.065 hartree per atom
# Volume   47.9 Å³/atom

***

Record 2
# BrCl2 | the Alexandria database | GGA-PBE | relaxed
data_BrCl2
_symmetry_space_group_name_H-M 'I 4/m c m'
_symmetry_Int_Tables_number 140
_symmetry_space_group_name_Hall '-I 4 2c'
_cell_length_a 6.651
_cell_length_b 6.651
_cell_length_c 6.873
_cell_angle_alpha 90.00
_cell_angle_beta 90.00
_cell_angle_gamma 90.00
loop_
_atom_site_label
_atom_site_fract_x
_atom_site_fract_y
_atom_site_fract_z
_atom_site_occupancy
Br1 0.000 0.000 0.250 1
Cl1 0.221 0.279 0.000 1
# Formation energy from raw total energies   1.808 eV per formula unit
# Magnetization   0.0 μB per cell
# Energy   -0.044 hartree per atom
# ΔE to the lowest computed polymorph   0.552 eV/atom
# Density of states at the Fermi level   0.966 states/eV/atom
# Volume   25.3 Å³/atom

***

Record 3
# BrCl5 | the Alexandria database | GGA-PBE | relaxed
data_BrCl5
_symmetry_space_group_name_H-M 'F -4 3 m'
_symmetry_Int_Tables_number 216
_symmetry_space_group_name_Hall 'F -4 2 3'
_cell_length_a 8.245
_cell_length_b 8.245
_cell_length_c 8.245
_cell_angle_alpha 90.00
_cell_angle_beta 90.00
_cell_angle_gamma 90.00
loop_
_atom_site_label
_atom_site_fract_x
_atom_site_fract_y
_atom_site_fract_z
_atom_site_occupancy
Br1 0.000 0.000 0.000 1
Cl1 0.125 0.125 0.375 1
Cl2 0.250 0.250 0.750 1
# Formation energy from raw total energies   5.309 eV per formula unit
# Magnetization   8.7 μB per cell
# Energy   -0.034 hartree per atom
# ΔE to the lowest computed polymorph   0.853 eV/atom
# Density of states at the Fermi level   1.781 states/eV/atom
# Volume   23.4 Å³/atom

***

Record 4
# Br4Cl | the Alexandria database | GGA-PBE | relaxed
data_Br4Cl
_symmetry_space_group_name_H-M 'P m -3 m'
_symmetry_Int_Tables_number 221
_symmetry_space_group_name_Hall '-P 4 2 3'
_cell_length_a 5.380
_cell_length_b 5.380
_cell_length_c 5.380
_cell_angle_alpha 90.00
_cell_angle_beta 90.00
_cell_angle_gamma 90.00
loop_
_atom_site_label
_atom_site_fract_x
_atom_site_fract_y
_atom_site_fract_z
_atom_site_occupancy
Br1 0.000 0.000 0.000 1
Br2 0.000 0.500 0.500 1
Cl1 0.500 0.500 0.500 1
# Formation energy from raw total energies   2.958 eV per formula unit
# Magnetization   2.0 μB per cell
# Energy   -0.041 hartree per atom
# ΔE to the lowest computed polymorph   0.531 eV/atom
# Density of states at the Fermi level   1.645 states/eV/atom
# Volume   31.2 Å³/atom

***

Record 5
# Br4Cl | the Alexandria database | GGA-PBE | relaxed
data_Br4Cl
_symmetry_space_group_name_H-M 'I m -3 m'
_symmetry_Int_Tables_number 229
_symmetry_space_group_name_Hall '-I 4 2 3'
_cell_length_a 6.729
_cell_length_b 6.729
_cell_length_c 6.729
_cell_angle_alpha 90.00
_cell_angle_beta 90.00
_cell_angle_gamma 90.00
loop_
_atom_site_label
_atom_site_fract_x
_atom_site_fract_y
_atom_site_fract_z
_atom_site_occupancy
Br1 0.250 0.250 0.250 1
Cl1 0.000 0.000 0.000 1
# Formation energy from raw total energies   3.325 eV per formula unit
# Magnetization   0.0 μB per cell
# Energy   -0.038 hartree per atom
# ΔE to the lowest computed polymorph   0.605 eV/atom
# Density of states at the Fermi level   1.652 states/eV/atom
# Volume   30.5 Å³/atom

***

Record 6
# BrCl2 | the Alexandria database | GGA-PBE | relaxed
data_BrCl2
_symmetry_space_group_name_H-M 'C 1 2/m 1'
_symmetry_Int_Tables_number 12
_cell_length_a 9.397
_cell_length_b 4.341
_cell_length_c 11.997
_cell_angle_alpha 90.00
_cell_angle_beta 100.51
_cell_angle_gamma 90.00
loop_
_symmetry_equiv_pos_as_xyz
'x,y,z'
'-x,-y,-z'
'-x,y,-z'
'x,-y,z'
'x+1/2,y+1/2,z'
'-x+1/2,-y+1/2,-z'
'-x+1/2,y+1/2,-z'
'x+1/2,-y+1/2,z'
loop_
_atom_site_label
_atom_site_fract_x
_atom_site_fract_y
_atom_site_fract_z
_atom_site_occupancy
Br1 0.052 0.000 0.326 1
Cl1 0.108 0.500 0.009 1
Cl2 0.215 0.500 0.669 1
# Formation energy from raw total energies   0.152 eV per formula unit
# Magnetization   0.0 μB per cell
# Energy   -0.064 hartree per atom
# ΔE to the lowest computed polymorph   0.000 eV/atom
# Volume   40.1 Å³/atom